Record 1
Density functional theory data (GGA-PBE) for a relaxed Sm2PaHg3Te6 crystal.

Calculated values
The calculation puts the spin magnetization at 0.000 μB per atom. Its formation energy without anion corrections is -0.77 eV per atom.

abc: 7.601 7.601 9.036
angles: 98.03 98.03 119.99
Positions (direct):
Hg 0.500 0.500 0.500
Hg 0.168 0.832 0.500
Hg 0.832 0.168 0.500
Pa 0.000 0.000 0.000
Sm 0.334 0.666 0.000
Sm 0.666 0.334 0.000
Te 0.068 0.389 0.207
Te 0.749 0.749 0.206
Te 0.389 0.068 0.207
Te 0.932 0.611 0.793
Te 0.251 0.251 0.794
Te 0.611 0.932 0.793

Record 2
Density functional theory data (GGA-PBE) for a relaxed HfBe2Au crystal.

Calculated values
The calculation puts the spin magnetization at 0.000 μB per atom. The distance to the lowest polymorph of the same formula is 0.303 eV/atom. The energy of formation comes out at 0.214 eV/atom.

abc: 4.086 4.086 8.462
angles: 76.03 76.03 90.00
Positions (direct):
Be 0.874 0.125 0.250
Be 0.375 0.126 0.750
Be 0.875 0.124 0.750
Be 0.876 0.625 0.250
Au 0.000 0.000 0.000
Au 0.750 0.250 0.500
Hf 0.250 0.750 0.500
Hf 0.500 0.500 0.000

Theoretical density, respectively: 7.26 9.84 g/cm3.